[1]
{
  "formula": "CaTbRh",
  "functional": "GGA-PBE",
  "state": "optimized geometry",
  "lattice_angstrom": [[4.031, 0.000, -0.857], [0.000, 5.446, 0.000], [-0.617, 0.000, 7.008]],
  "species": ["Ca", "Ca", "Rh", "Tb", "Rh", "Tb"],
  "fractional_positions": [[0.948, 0.250, 0.896], [0.052, 0.750, 0.104], [0.620, 0.250, 0.241], [0.754, 0.750, 0.507], [0.380, 0.750, 0.759], [0.246, 0.250, 0.493]],
  "final_energy_ev_per_atom": -5.05,
  "crystal_system": "orthorhombic",
  "magnetic_moment_mub_per_cell": 0.00,
  "vol_a3_per_fu": 75.47
}


[2]
{
  "formula": "CaTbRh",
  "functional": "GGA-PBE",
  "state": "optimized geometry",
  "lattice_angstrom": [[4.838, 0.000, 0.000], [2.419, 4.189, 0.000], [2.419, 1.396, 3.950]],
  "species": ["Ca", "Rh", "Tb"],
  "fractional_positions": [[0.000, 0.000, 0.000], [0.250, 0.250, 0.250], [0.500, 0.500, 0.500]],
  "final_energy_ev_per_atom": -5.11,
  "crystal_system": "cubic",
  "magnetic_moment_mub_per_cell": 0.00,
  "vol_a3_per_fu": 80.05
}


[3]
{
  "formula": "CaTbRh",
  "functional": "GGA-PBE",
  "state": "optimized geometry",
  "lattice_angstrom": [[-1.397, 3.150, -0.266], [-3.142, -1.352, 0.497], [2.934, -0.055, 6.385]],
  "species": ["Rh", "Tb", "Ca"],
  "fractional_positions": [[0.677, 0.677, 0.353], [0.290, 0.290, 0.579], [0.034, 0.034, 0.067]],
  "final_energy_ev_per_atom": -5.14,
  "crystal_system": "tetragonal",
  "magnetic_moment_mub_per_cell": 0.00,
  "vol_a3_per_fu": 78.72
}


[4]
{
  "formula": "CaTb2TmRh4",
  "functional": "GGA-PBE",
  "state": "optimized geometry",
  "lattice_angstrom": [[-4.129, 1.538, 1.971], [-1.485, -1.817, 4.219], [2.072, 5.583, 5.896]],
  "species": ["Rh", "Tb", "Rh", "Ca", "Rh", "Rh", "Tb", "Tm"],
  "fractional_positions": [[0.872, 0.872, 0.384], [0.252, 0.252, 0.245], [0.128, 0.128, 0.616], [0.000, 0.000, 0.000], [0.379, 0.379, 0.863], [0.621, 0.621, 0.137], [0.748, 0.748, 0.755], [0.500, 0.500, 0.500]],
  "final_energy_ev_per_atom": -6.42,
  "crystal_system": "trigonal",
  "magnetic_moment_mub_per_cell": 0.00,
  "vol_a3_per_fu": 159.48
}


[5]
{
  "formula": "CaTcRh2",
  "functional": "GGA-PBE",
  "state": "optimized geometry",
  "lattice_angstrom": [[2.792, 0.000, 0.000], [0.000, 4.041, 0.000], [0.000, 0.000, 6.187]],
  "species": ["Rh", "Rh", "Ca", "Tc"],
  "fractional_positions": [[0.500, 0.500, 0.273], [0.000, 0.000, 0.027], [0.500, 0.500, 0.769], [0.000, 0.000, 0.431]],
  "final_energy_ev_per_atom": -6.59,
  "crystal_system": "orthorhombic",
  "magnetic_moment_mub_per_cell": 0.00,
  "vol_a3_per_fu": 69.80
}


[6]
{
  "formula": "CaTcRh2",
  "functional": "GGA-PBE",
  "state": "optimized geometry",
  "lattice_angstrom": [[-4.658, -3.841, 2.838], [0.672, 0.389, -4.786], [0.473, -2.798, -0.160]],
  "species": ["Rh", "Ca", "Rh", "Tc"],
  "fractional_positions": [[0.000, 0.000, 0.000], [0.500, 0.500, 0.000], [0.500, 0.000, 0.500], [0.000, 0.500, 0.500]],
  "final_energy_ev_per_atom": -6.70,
  "crystal_system": "orthorhombic",
  "magnetic_moment_mub_per_cell": 0.81,
  "vol_a3_per_fu": 65.10
}


[7]
{
  "formula": "CaTcRh2",
  "functional": "GGA-PBE",
  "state": "optimized geometry",
  "lattice_angstrom": [[3.641, 0.000, 0.000], [0.000, 2.871, 0.007], [0.000, 2.842, 6.646]],
  "species": ["Rh", "Rh", "Ca", "Tc"],
  "fractional_positions": [[0.000, 0.951, 0.049], [0.000, 0.549, 0.451], [0.500, 0.750, 0.750], [0.500, 0.250, 0.250]],
  "final_energy_ev_per_atom": -6.75,
  "crystal_system": "monoclinic",
  "magnetic_moment_mub_per_cell": 0.00,
  "vol_a3_per_fu": 69.40
}


[8]
{
  "formula": "CaTcRh3",
  "functional": "GGA-PBE",
  "state": "optimized geometry",
  "lattice_angstrom": [[4.723, 0.000, 0.000], [0.000, 4.723, 0.000], [0.000, 0.000, 4.723]],
  "species": ["Rh", "Ca", "Rh", "Rh", "Tc"],
  "fractional_positions": [[0.500, 0.000, 0.000], [0.500, 0.500, 0.500], [0.000, 0.500, 0.000], [0.000, 0.000, 0.500], [0.000, 0.000, 0.000]],
  "final_energy_ev_per_atom": -6.42,
  "crystal_system": "cubic",
  "magnetic_moment_mub_per_cell": 0.00,
  "vol_a3_per_fu": 105.36
}


[9]
{
  "formula": "CaTcRh2",
  "functional": "GGA-PBE",
  "state": "optimized geometry",
  "lattice_angstrom": [[-1.588, -2.032, 4.030], [2.539, -3.935, -0.984], [2.231, 1.083, 1.425]],
  "species": ["Tc", "Rh", "Ca", "Rh"],
  "fractional_positions": [[0.500, 0.000, 0.500], [0.000, 0.000, 0.000], [0.000, 0.500, 0.500], [0.500, 0.500, 0.000]],
  "final_energy_ev_per_atom": -6.67,
  "crystal_system": "tetragonal",
  "magnetic_moment_mub_per_cell": 0.20,
  "vol_a3_per_fu": 65.48
}


[10]
{
  "formula": "CaTcRh2",
  "functional": "GGA-PBE",
  "state": "optimized geometry",
  "lattice_angstrom": [[-2.162, 2.992, 8.466], [-4.485, 1.346, 7.961], [-2.065, 0.153, 9.001]],
  "species": ["Rh", "Ca", "Rh", "Tc"],
  "fractional_positions": [[0.994, 0.994, 0.994], [0.750, 0.750, 0.750], [0.506, 0.506, 0.506], [0.250, 0.250, 0.250]],
  "final_energy_ev_per_atom": -6.52,
  "crystal_system": "trigonal",
  "magnetic_moment_mub_per_cell": 0.00,
  "vol_a3_per_fu": 65.77
}


[11]
{
  "formula": "Ca2TcRh2",
  "functional": "GGA-PBE",
  "state": "optimized geometry",
  "lattice_angstrom": [[-4.011, -5.145, -0.676], [1.732, -2.133, 5.955], [-3.531, 2.501, 1.923]],
  "species": ["Ca", "Rh", "Rh", "Ca", "Ca", "Ca", "Rh", "Rh", "Tc", "Tc"],
  "fractional_positions": [[0.679, 0.821, 0.500], [0.859, 0.641, 0.000], [0.641, 0.141, 0.000], [0.321, 0.179, 0.500], [0.821, 0.321, 0.500], [0.179, 0.679, 0.500], [0.141, 0.359, 0.000], [0.359, 0.859, 0.000], [0.000, 0.000, 0.000], [0.500, 0.500, 0.000]],
  "final_energy_ev_per_atom": -5.88,
  "crystal_system": "tetragonal",
  "magnetic_moment_mub_per_cell": 0.00,
  "vol_a3_per_fu": 101.83
}


[12]
{
  "formula": "CaTcRh2",
  "functional": "GGA-PBE",
  "state": "optimized geometry",
  "lattice_angstrom": [[-2.295, -0.844, -1.557], [-1.204, -1.125, 2.385], [-3.569, 6.964, 1.483]],
  "species": ["Ca", "Rh", "Rh", "Tc"],
  "fractional_positions": [[0.500, 0.500, 0.750], [0.000, 0.000, 0.035], [0.000, 0.000, 0.465], [0.500, 0.500, 0.250]],
  "final_energy_ev_per_atom": -6.83,
  "crystal_system": "tetragonal",
  "magnetic_moment_mub_per_cell": 0.00,
  "vol_a3_per_fu": 66.93
}


[13]
{
  "formula": "CaTcRh2",
  "functional": "GGA-PBE",
  "state": "optimized geometry",
  "lattice_angstrom": [[-0.566, -5.033, 0.420], [1.330, -2.542, -4.195], [2.228, 3.574, 2.844]],
  "species": ["Rh", "Rh", "Tc", "Ca"],
  "fractional_positions": [[0.000, 0.000, 0.000], [0.250, 0.750, 0.500], [0.500, 0.500, 0.000], [0.750, 0.250, 0.500]],
  "final_energy_ev_per_atom": -6.51,
  "crystal_system": "tetragonal",
  "magnetic_moment_mub_per_cell": 0.55,
  "vol_a3_per_fu": 66.07
}


[14]
{
  "formula": "CaTcRh2",
  "functional": "GGA-PBE",
  "state": "optimized geometry",
  "lattice_angstrom": [[-2.160, -4.999, 4.919], [-3.398, -3.756, -5.309], [-0.395, -5.871, -0.665]],
  "species": ["Rh", "Ca", "Rh", "Rh", "Tc", "Rh", "Tc", "Ca"],
  "fractional_positions": [[0.069, 0.625, 0.250], [0.500, 0.500, 0.000], [0.875, 0.931, 0.750], [0.681, 0.125, 0.250], [0.000, 0.000, 0.000], [0.375, 0.319, 0.750], [0.750, 0.250, 0.500], [0.250, 0.750, 0.500]],
  "final_energy_ev_per_atom": -6.44,
  "crystal_system": "tetragonal",
  "magnetic_moment_mub_per_cell": 0.00,
  "vol_a3_per_fu": 76.81
}


[15]
{
  "formula": "CaTcRh2",
  "functional": "GGA-PBE",
  "state": "optimized geometry",
  "lattice_angstrom": [[2.827, 0.011, 0.000], [-0.011, 2.827, 0.000], [0.000, 0.000, 8.411]],
  "species": ["Rh", "Ca", "Tc", "Rh"],
  "fractional_positions": [[0.000, 0.000, 0.026], [0.500, 0.500, 0.760], [0.000, 0.000, 0.460], [0.500, 0.500, 0.253]],
  "final_energy_ev_per_atom": -6.55,
  "crystal_system": "tetragonal",
  "magnetic_moment_mub_per_cell": 0.00,
  "vol_a3_per_fu": 67.22
}


[16]
{
  "formula": "CaTcRh2",
  "functional": "GGA-PBE",
  "state": "optimized geometry",
  "lattice_angstrom": [[-2.642, -3.182, -2.137], [0.734, -1.930, 1.966], [-3.707, 0.934, 3.191]],
  "species": ["Ca", "Rh", "Tc", "Rh"],
  "fractional_positions": [[0.500, 0.704, 0.814], [0.500, 0.113, 0.305], [0.000, 0.519, 0.431], [0.000, 0.164, 0.951]],
  "final_energy_ev_per_atom": -6.70,
  "crystal_system": "monoclinic",
  "magnetic_moment_mub_per_cell": 0.00,
  "vol_a3_per_fu": 65.60
}


[17]
{
  "formula": "CaTcRh2",
  "functional": "GGA-PBE",
  "state": "optimized geometry",
  "lattice_angstrom": [[-0.462, -2.527, -4.596], [2.317, -2.353, -4.101], [0.085, -4.647, 1.150]],
  "species": ["Tc", "Rh", "Rh", "Ca"],
  "fractional_positions": [[0.527, 0.527, 0.433], [0.978, 0.978, 0.963], [0.256, 0.256, 0.302], [0.739, 0.739, 0.802]],
  "final_energy_ev_per_atom": -6.70,
  "crystal_system": "monoclinic",
  "magnetic_moment_mub_per_cell": 0.00,
  "vol_a3_per_fu": 66.24
}


[18]
{
  "formula": "CaTcRh2",
  "functional": "GGA-PBE",
  "state": "optimized geometry",
  "lattice_angstrom": [[-2.006, -2.069, 3.717], [-1.513, -4.059, 1.831], [4.733, -1.324, 2.632]],
  "species": ["Rh", "Rh", "Tc", "Ca"],
  "fractional_positions": [[0.994, 0.994, 0.053], [0.506, 0.506, 0.447], [0.250, 0.250, 0.250], [0.750, 0.750, 0.750]],
  "final_energy_ev_per_atom": -6.60,
  "crystal_system": "monoclinic",
  "magnetic_moment_mub_per_cell": 0.00,
  "vol_a3_per_fu": 69.25
}


[19]
{
  "formula": "CaTcRh2",
  "functional": "GGA-PBE",
  "state": "optimized geometry",
  "lattice_angstrom": [[0.000, 3.235, 3.235], [3.235, 0.000, 3.235], [3.235, 3.235, 0.000]],
  "species": ["Ca", "Rh", "Tc", "Rh"],
  "fractional_positions": [[0.000, 0.000, 0.000], [0.250, 0.250, 0.250], [0.500, 0.500, 0.500], [0.750, 0.750, 0.750]],
  "final_energy_ev_per_atom": -6.58,
  "crystal_system": "cubic",
  "magnetic_moment_mub_per_cell": 3.00,
  "vol_a3_per_fu": 67.70
}


[20]
{
  "formula": "CaTcRh4",
  "functional": "GGA-PBE",
  "state": "optimized geometry",
  "lattice_angstrom": [[-2.294, 0.912, 4.580], [-1.045, 4.884, 1.460], [-4.925, 1.672, 0.156]],
  "species": ["Rh", "Rh", "Tc", "Ca", "Rh", "Rh"],
  "fractional_positions": [[0.375, 0.375, 0.874], [0.375, 0.874, 0.375], [0.750, 0.750, 0.750], [0.000, 0.000, 0.000], [0.375, 0.375, 0.375], [0.874, 0.375, 0.375]],
  "final_energy_ev_per_atom": -6.84,
  "crystal_system": "cubic",
  "magnetic_moment_mub_per_cell": 2.56,
  "vol_a3_per_fu": 99.62
}


[21]
{
  "formula": "CaTcRh2",
  "functional": "GGA-PBE",
  "state": "optimized geometry",
  "lattice_angstrom": [[-2.013, -3.059, -4.539], [-4.648, -3.528, 0.166], [2.495, 5.253, 0.513]],
  "species": ["Ca", "Rh", "Tc", "Rh"],
  "fractional_positions": [[0.248, 0.749, 0.500], [0.744, 0.245, 0.500], [0.534, 0.533, 0.000], [0.973, 0.973, 0.001]],
  "final_energy_ev_per_atom": -6.68,
  "crystal_system": "monoclinic",
  "magnetic_moment_mub_per_cell": 0.00,
  "vol_a3_per_fu": 67.71
}


[22]
{
  "formula": "CaTc4Rh",
  "functional": "GGA-PBE",
  "state": "optimized geometry",
  "lattice_angstrom": [[0.000, 3.690, 3.690], [3.690, 0.000, 3.690], [3.690, 3.690, 0.000]],
  "species": ["Tc", "Rh", "Tc", "Tc", "Tc", "Ca"],
  "fractional_positions": [[0.876, 0.375, 0.375], [0.000, 0.000, 0.000], [0.375, 0.375, 0.876], [0.375, 0.876, 0.375], [0.375, 0.375, 0.375], [0.750, 0.750, 0.750]],
  "final_energy_ev_per_atom": -8.12,
  "crystal_system": "cubic",
  "magnetic_moment_mub_per_cell": 0.00,
  "vol_a3_per_fu": 100.50
}


[23]
{
  "formula": "CaTcRh2",
  "functional": "GGA-PBE",
  "state": "optimized geometry",
  "lattice_angstrom": [[-1.419, -2.977, -3.100], [1.882, -4.110, -0.219], [-2.364, -3.642, 1.276]],
  "species": ["Ca", "Rh", "Tc", "Rh"],
  "fractional_positions": [[0.500, 0.500, 0.500], [0.250, 0.250, 0.250], [0.750, 0.750, 0.750], [0.000, 0.000, 0.000]],
  "final_energy_ev_per_atom": -6.42,
  "crystal_system": "cubic",
  "magnetic_moment_mub_per_cell": 0.00,
  "vol_a3_per_fu": 65.55
}


[24]
{
  "formula": "CaTcRh2",
  "functional": "GGA-PBE",
  "state": "optimized geometry",
  "lattice_angstrom": [[-1.892, -0.151, 4.341], [-0.066, -4.677, 0.754], [3.749, 2.572, -1.333]],
  "species": ["Rh", "Tc", "Rh", "Ca"],
  "fractional_positions": [[0.500, 0.500, 0.000], [0.750, 0.250, 0.500], [0.000, 0.000, 0.000], [0.250, 0.750, 0.500]],
  "final_energy_ev_per_atom": -6.58,
  "crystal_system": "tetragonal",
  "magnetic_moment_mub_per_cell": 1.96,
  "vol_a3_per_fu": 66.84
}


[25]
{
  "formula": "CaTi2TcRh",
  "functional": "GGA-PBE",
  "state": "optimized geometry",
  "lattice_angstrom": [[4.565, 0.000, 0.000], [0.000, 5.315, 0.000], [0.000, 0.000, 4.565]],
  "species": ["Ca", "Tc", "Ti", "Ti", "Rh"],
  "fractional_positions": [[0.000, 0.500, 0.000], [0.000, 0.000, 0.000], [0.500, 0.000, 0.000], [0.000, 0.000, 0.500], [0.500, 0.500, 0.500]],
  "final_energy_ev_per_atom": -6.40,
  "crystal_system": "tetragonal",
  "magnetic_moment_mub_per_cell": 0.00,
  "vol_a3_per_fu": 110.78
}


[26]
{
  "formula": "Ca4TeRh",
  "functional": "GGA-PBE",
  "state": "optimized geometry",
  "lattice_angstrom": [[0.000, 4.469, 4.469], [4.469, 0.000, 4.469], [4.469, 4.469, 0.000]],
  "species": ["Rh", "Ca", "Ca", "Te", "Ca", "Ca"],
  "fractional_positions": [[0.750, 0.750, 0.750], [0.376, 0.873, 0.376], [0.376, 0.376, 0.873], [0.000, 0.000, 0.000], [0.376, 0.376, 0.376], [0.873, 0.376, 0.376]],
  "crystal_system": "cubic",
  "e_form_raw_ev_per_fu": 1.580,
  "magnetic_moment_mub_per_cell": 0.00,
  "vol_a3_per_fu": 178.54
}


[27]
{
  "formula": "CaTeRh2",
  "functional": "GGA-PBE",
  "state": "optimized geometry",
  "lattice_angstrom": [[-2.981, -3.631, 0.906], [0.470, -2.532, 4.032], [-3.270, 0.399, 3.470]],
  "species": ["Ca", "Te", "Rh", "Rh"],
  "fractional_positions": [[0.500, 0.500, 0.500], [0.250, 0.250, 0.250], [0.000, 0.000, 0.000], [0.750, 0.750, 0.750]],
  "crystal_system": "cubic",
  "e_form_raw_ev_per_fu": -0.324,
  "magnetic_moment_mub_per_cell": 1.15,
  "vol_a3_per_fu": 77.44
}


[28]
{
  "formula": "Ca2Te4Rh",
  "functional": "GGA-PBE",
  "state": "optimized geometry",
  "lattice_angstrom": [[-1.585, 4.564, -2.352], [0.655, -2.262, -4.830], [-7.669, -1.269, -3.434]],
  "species": ["Te", "Te", "Te", "Ca", "Ca", "Te", "Rh"],
  "fractional_positions": [[0.174, 0.174, 0.652], [0.500, 0.000, 0.000], [0.000, 0.500, 0.000], [0.625, 0.625, 0.750], [0.375, 0.375, 0.250], [0.826, 0.826, 0.348], [0.000, 0.000, 0.000]],
  "crystal_system": "tetragonal",
  "e_form_raw_ev_per_fu": -4.785,
  "magnetic_moment_mub_per_cell": 0.00,
  "vol_a3_per_fu": 219.48
}


[29]
{
  "formula": "Ca2TeRh2",
  "functional": "GGA-PBE",
  "state": "optimized geometry",
  "lattice_angstrom": [[-2.152, 6.295, -2.437], [-1.190, -2.871, -6.367], [-4.100, -0.941, 1.191]],
  "species": ["Rh", "Rh", "Ca", "Ca", "Ca", "Rh", "Ca", "Rh", "Te", "Te"],
  "fractional_positions": [[0.862, 0.638, 0.000], [0.362, 0.862, 0.000], [0.331, 0.169, 0.500], [0.169, 0.669, 0.500], [0.831, 0.331, 0.500], [0.138, 0.362, 0.000], [0.669, 0.831, 0.500], [0.638, 0.138, 0.000], [0.000, 0.000, 0.000], [0.500, 0.500, 0.000]],
  "crystal_system": "tetragonal",
  "e_form_raw_ev_per_fu": -2.859,
  "magnetic_moment_mub_per_cell": 0.00,
  "vol_a3_per_fu": 109.72
}